(1)
DFT (PBE) results for crystalline CaSiHg2 at its relaxed geometry.

Geometry as CIF:
```
data_CaSiHg2
_space_group_name_H-M_alt 'P 1'
_space_group_IT_number 1
_cell_length_a 6.225
_cell_length_b 6.225
_cell_length_c 6.225
_cell_angle_alpha 42.19
_cell_angle_beta 42.19
_cell_angle_gamma 42.19
loop_
_space_group_symop_operation_xyz
'x,y,z'
loop_
_atom_site_label
_atom_site_type_symbol
_atom_site_fract_x
_atom_site_fract_y
_atom_site_fract_z
Hg1 Hg 0.979 0.979 0.979
Hg2 Hg 0.521 0.521 0.521
Ca1 Ca 0.750 0.750 0.750
Si1 Si 0.250 0.250 0.250
```

- E_form (uncorrected) (meV/atom) = -132
- ρ (g/cm3) = 7.913
- M_tot (μB per cell) = 0.00

=====

(2)
DFT (PBE) results for crystalline CaSiHg2 at its relaxed geometry.

Geometry as CIF:
```
data_CaSiHg2
_space_group_name_H-M_alt 'P 1'
_space_group_IT_number 1
_cell_length_a 5.974
_cell_length_b 5.974
_cell_length_c 5.974
_cell_angle_alpha 45.67
_cell_angle_beta 45.67
_cell_angle_gamma 45.67
loop_
_space_group_symop_operation_xyz
'x,y,z'
loop_
_atom_site_label
_atom_site_type_symbol
_atom_site_fract_x
_atom_site_fract_y
_atom_site_fract_z
Hg1 Hg 0.198 0.198 0.198
Hg2 Hg 0.987 0.987 0.987
Si1 Si 0.558 0.558 0.558
Ca1 Ca 0.757 0.757 0.757
```

- E_form (uncorrected) (meV/atom) = -181
- ρ (g/cm3) = 7.838
- M_tot (μB per cell) = 0.00

=====

(3)
DFT (PBE) results for crystalline CaSiHg at its relaxed geometry.

Geometry as CIF:
```
data_CaSiHg
_space_group_name_H-M_alt 'P 1'
_space_group_IT_number 1
_cell_length_a 10.438
_cell_length_b 6.365
_cell_length_c 4.370
_cell_angle_alpha 90.00
_cell_angle_beta 90.00
_cell_angle_gamma 90.00
loop_
_space_group_symop_operation_xyz
'x,y,z'
loop_
_atom_site_label
_atom_site_type_symbol
_atom_site_fract_x
_atom_site_fract_y
_atom_site_fract_z
Ca1 Ca 0.805 0.750 0.439
Ca2 Ca 0.305 0.750 0.061
Ca3 Ca 0.695 0.250 0.939
Ca4 Ca 0.195 0.250 0.561
Hg1 Hg 0.500 0.000 0.500
Hg2 Hg 0.000 0.000 0.000
Hg3 Hg 0.500 0.500 0.500
Hg4 Hg 0.000 0.500 0.000
Si1 Si 0.898 0.250 0.416
Si2 Si 0.602 0.750 0.916
Si3 Si 0.102 0.750 0.584
Si4 Si 0.398 0.250 0.084
```

- E_form (uncorrected) (meV/atom) = -189
- ρ (g/cm3) = 6.148
- M_tot (μB per cell) = 0.00

=====

(4)
DFT (PBE) results for crystalline CaSiHg at its relaxed geometry.

Geometry as CIF:
```
data_CaSiHg
_space_group_name_H-M_alt 'P 1'
_space_group_IT_number 1
_cell_length_a 8.588
_cell_length_b 3.865
_cell_length_c 4.423
_cell_angle_alpha 90.00
_cell_angle_beta 105.07
_cell_angle_gamma 90.03
loop_
_space_group_symop_operation_xyz
'x,y,z'
loop_
_atom_site_label
_atom_site_type_symbol
_atom_site_fract_x
_atom_site_fract_y
_atom_site_fract_z
Hg1 Hg 0.539 0.942 0.260
Hg2 Hg 0.695 0.442 0.836
Si1 Si 0.033 0.442 0.006
Si2 Si 0.202 0.942 0.091
Ca1 Ca 0.922 0.942 0.450
Ca2 Ca 0.312 0.442 0.647
```

- E_form (uncorrected) (meV/atom) = -414
- ρ (g/cm3) = 6.296
- M_tot (μB per cell) = 0.00

=====

(5)
DFT (PBE) results for crystalline CaSi2Hg at its relaxed geometry.

Geometry as CIF:
```
data_CaSi2Hg
_space_group_name_H-M_alt 'P 1'
_space_group_IT_number 1
_cell_length_a 3.745
_cell_length_b 3.745
_cell_length_c 6.322
_cell_angle_alpha 90.00
_cell_angle_beta 90.00
_cell_angle_gamma 90.00
loop_
_space_group_symop_operation_xyz
'x,y,z'
loop_
_atom_site_label
_atom_site_type_symbol
_atom_site_fract_x
_atom_site_fract_y
_atom_site_fract_z
Si1 Si 0.000 0.000 0.938
Si2 Si 0.000 0.000 0.562
Hg1 Hg 0.500 0.500 0.750
Ca1 Ca 0.500 0.500 0.250
```

- E_form (uncorrected) (meV/atom) = 69
- ρ (g/cm3) = 5.558
- M_tot (μB per cell) = 0.00

=====

(6)
DFT (PBE) results for crystalline Ca3Si2Hg4 at its relaxed geometry.

Geometry as CIF:
```
data_Ca3Si2Hg4
_space_group_name_H-M_alt 'P 1'
_space_group_IT_number 1
_cell_length_a 4.499
_cell_length_b 6.121
_cell_length_c 9.253
_cell_angle_alpha 109.37
_cell_angle_beta 90.00
_cell_angle_gamma 111.56
loop_
_space_group_symop_operation_xyz
'x,y,z'
loop_
_atom_site_label
_atom_site_type_symbol
_atom_site_fract_x
_atom_site_fract_y
_atom_site_fract_z
Hg1 Hg 0.026 0.051 0.357
Hg2 Hg 0.736 0.471 0.088
Hg3 Hg 0.974 0.949 0.643
Hg4 Hg 0.264 0.529 0.912
Si1 Si 0.397 0.794 0.728
Si2 Si 0.603 0.206 0.272
Ca1 Ca 0.321 0.643 0.365
Ca2 Ca 0.679 0.357 0.635
Ca3 Ca 0.000 0.000 0.000
```

- E_form (uncorrected) (meV/atom) = -371
- ρ (g/cm3) = 7.340
- M_tot (μB per cell) = 0.00